# 1
# Tl6Hg23Se

An optimized crystal structure of Tl6Hg23Se (PBE, Alexandria via LeMat-Bulk).

Cell lengths 10.6839, 10.6839, 10.6839 Å; angles 60.00, 60.00, 60.00 degrees
Closest atoms and distances in Å follow each position.
Fractional coordinates of all 30 atoms:
Tl: 0.2093 0.2093 0.7907  1 Se 3.16
Tl: 0.2093 0.7907 0.2093  1 Se 3.16
Tl: 0.2093 0.7907 0.7907  1 Se 3.16
Tl: 0.7907 0.2093 0.2093  1 Se 3.16
Tl: 0.7907 0.2093 0.7907  1 Se 3.16
Tl: 0.7907 0.7907 0.2093  1 Se 3.16
Hg: 0.0000 0.0000 0.5000  8 Hg 3.09-3.33
Hg: 0.0000 0.5000 0.0000  8 Hg 3.09-3.33
Hg: 0.0000 0.5000 0.5000  8 Hg 3.09-3.33
Hg: 0.1443 0.6186 0.6186  7 Hg 3.10-3.44
Hg: 0.1628 0.1628 0.1628  6 Hg 3.09-3.44
Hg: 0.1628 0.1628 0.5116  6 Hg 3.09-3.44
Hg: 0.1628 0.5116 0.1628  6 Hg 3.09-3.44
Hg: 0.3814 0.3814 0.3814  7 Hg 3.10-3.44
Hg: 0.3814 0.3814 0.8557  7 Hg 3.10-3.44
Hg: 0.3814 0.8557 0.3814  7 Hg 3.10-3.44
Hg: 0.4884 0.8372 0.8372  6 Hg 3.09-3.44
Hg: 0.5000 0.0000 0.0000  8 Hg 3.09-3.33
Hg: 0.5000 0.0000 0.5000  8 Hg 3.09-3.33
Hg: 0.5000 0.5000 0.0000  8 Hg 3.09-3.33
Hg: 0.5000 0.5000 0.5000  8 Hg 3.10
Hg: 0.5116 0.1628 0.1628  6 Hg 3.09-3.44
Hg: 0.6186 0.1443 0.6186  7 Hg 3.10-3.44
Hg: 0.6186 0.6186 0.1443  7 Hg 3.10-3.44
Hg: 0.6186 0.6186 0.6186  7 Hg 3.10-3.44
Hg: 0.8372 0.4884 0.8372  6 Hg 3.09-3.44
Hg: 0.8372 0.8372 0.4884  6 Hg 3.09-3.44
Hg: 0.8372 0.8372 0.8372  6 Hg 3.09-3.44
Hg: 0.8557 0.3814 0.3814  7 Hg 3.10-3.44
Se: 0.0000 0.0000 0.0000  6 Tl 3.16

Values from the calculation:
E_tot = -0.858 eV per atom



# 2
# TlHgSe2

An optimized crystal structure of TlHgSe2 (PBE, Alexandria via LeMat-Bulk).

Cell lengths 5.9894, 5.9894, 5.9894 Å; angles 145.01, 116.16, 74.92 degrees
Closest atoms and distances in Å follow each position.
Fractional coordinates of all 4 atoms:
Tl: 0.0000 0.0000 0.0000  2 Se 3.19, 2 Hg 3.20
Hg: 0.7216 0.2216 0.5000  2 Se 2.95, 2 Tl 3.20
Se: 0.2764 0.7764 0.5000  2 Se 2.62
Se: 0.4761 0.4761 0.0000  2 Se 2.62

Values from the calculation:
E_tot = -2.370 eV per atom



# 3
# TlHg2Se

An optimized crystal structure of TlHg2Se (PBE, Alexandria via LeMat-Bulk).

Cell lengths 3.2110, 4.2956, 8.1744 Å; angles 90.00, 90.00, 90.00 degrees
Closest atoms and distances in Å follow each position.
Fractional coordinates of all 4 atoms:
Tl: 0.0000 0.0000 0.0000  2 Tl 3.21, 4 Se 3.24
Hg: 0.0000 0.0000 0.5257  6 Hg 3.21-3.26, 4 Se 3.38
Hg: 0.5000 0.5000 0.2993  6 Hg 3.21-3.26
Se: 0.5000 0.5000 0.7778  2 Se 3.21, 4 Tl 3.24, 4 Hg 3.38

Values from the calculation:
E_tot = -1.630 eV per atom



# 4
# Tl2HgSe2

An optimized crystal structure of Tl2HgSe2 (PBE, Alexandria via LeMat-Bulk).

Cell lengths 6.7106, 6.7106, 6.7106 Å; angles 130.45, 130.45, 72.69 degrees
Closest atoms and distances in Å follow each position.
Fractional coordinates of all 5 atoms:
Tl: 0.2500 0.7500 0.5000  4 Se 3.19
Tl: 0.7500 0.2500 0.5000  4 Se 3.19
Hg: 0.0000 0.0000 0.0000  8 Tl 3.90, 10 Se 4.16-4.20
Se: 0.3887 0.3887 0.0000  1 Se 2.41
Se: 0.6113 0.6113 0.0000  1 Se 2.41

Values from the calculation:
E_tot = -2.581 eV per atom



# 5
# TlHg2Se

An optimized crystal structure of TlHg2Se (PBE, Alexandria via LeMat-Bulk).

Cell lengths 7.7065, 7.7065, 7.7065 Å; angles 32.54, 32.54, 32.54 degrees
Closest atoms and distances in Å follow each position.
Fractional coordinates of all 4 atoms:
Tl: 0.0000 0.0000 0.0000  6 Hg 3.22-3.28
Hg: 0.5732 0.5732 0.5732  3 Se 2.83
Hg: 0.7638 0.7638 0.7638  3 Se 3.06, 3 Tl 3.28
Se: 0.1782 0.1782 0.1782  6 Hg 2.83-3.06

Values from the calculation:
E_tot = -1.663 eV per atom



# 6
# Tl3HgSe3

An optimized crystal structure of Tl3HgSe3 (PBE, Alexandria via LeMat-Bulk).

Cell lengths 8.5009, 8.5009, 6.5245 Å; angles 90.00, 90.00, 93.19 degrees
Closest atoms and distances in Å follow each position.
Fractional coordinates of all 14 atoms:
Tl: 0.1253 0.3804 0.7500  5 Se 2.96-3.29
Tl: 0.1350 0.8650 0.7500  5 Se 3.02-3.36
Tl: 0.3804 0.1253 0.2500  5 Se 2.96-3.29
Tl: 0.6196 0.8747 0.7500  5 Se 2.96-3.29
Tl: 0.8650 0.1350 0.2500  5 Se 3.02-3.36
Tl: 0.8747 0.6196 0.2500  5 Se 2.96-3.29
Hg: 0.3421 0.6579 0.2500  2 Se 2.54
Hg: 0.6579 0.3421 0.7500  2 Se 2.54
Se: 0.1095 0.8905 0.2500  1 Hg 2.87, 3 Tl 2.96-3.02
Se: 0.1675 0.4062 0.2500  1 Hg 2.54
Se: 0.4062 0.1675 0.7500  1 Hg 2.54
Se: 0.5938 0.8325 0.2500  1 Hg 2.54
Se: 0.8325 0.5938 0.7500  1 Hg 2.54
Se: 0.8905 0.1095 0.7500  1 Hg 2.87, 3 Tl 2.96-3.02

Values from the calculation:
E_tot = -2.802 eV per atom



# 7
# TlHgSe2

An optimized crystal structure of TlHgSe2 (PBE, Alexandria via LeMat-Bulk).

Cell lengths 6.2924, 6.2924, 5.9336 Å; angles 90.07, 90.07, 26.90 degrees
Closest atoms and distances in Å follow each position.
Fractional coordinates of all 4 atoms:
Tl: 0.0000 0.0000 0.0000  2 Tl 2.93, 1 Se 3.17
Hg: 0.2582 0.2582 0.4990  1 Se 2.82, 2 Hg 2.93
Se: 0.4887 0.4887 0.4998  1 Hg 2.82, 2 Se 2.93
Se: 0.7408 0.7408 0.9988  2 Se 2.93, 1 Tl 3.17

Values from the calculation:
E_tot = -2.388 eV per atom



# 8
# TlHg2Se

An optimized crystal structure of TlHg2Se (PBE, Alexandria via LeMat-Bulk).

Cell lengths 3.0979, 5.6167, 6.2270 Å; angles 90.00, 90.05, 90.00 degrees
Closest atoms and distances in Å follow each position.
Fractional coordinates of all 4 atoms:
Tl: 0.0000 0.0000 0.0000  2 Tl 3.10
Hg: 0.4966 0.5000 0.7482  4 Hg 3.09-3.14, 2 Se 3.21
Hg: 0.5034 0.5000 0.2518  4 Hg 3.09-3.14, 2 Se 3.21
Se: 0.5000 0.0000 0.5000  2 Se 3.10, 4 Hg 3.21

Values from the calculation:
E_tot = -1.618 eV per atom



# 9
# Tl6HgSe3

An optimized crystal structure of Tl6HgSe3 (PBE, Alexandria via LeMat-Bulk).

Cell lengths 12.8976, 4.4356, 12.9650 Å; angles 90.00, 112.47, 90.00 degrees
Closest atoms and distances in Å follow each position.
Fractional coordinates of all 20 atoms:
Tl: 0.0316 0.2500 0.2399  3 Se 3.02-3.12
Tl: 0.1212 0.7500 0.5055  2 Se 2.99
Tl: 0.1565 0.2500 0.0000  3 Se 3.02-3.31
Tl: 0.3399 0.7500 0.3427  3 Se 2.97-3.11
Tl: 0.3539 0.7500 0.9409  3 Se 3.05-3.09
Tl: 0.4310 0.2500 0.7274  3 Se 3.07-3.40, 1 Tl 3.41, 1 Hg 3.43
Tl: 0.5690 0.7500 0.2726  3 Se 3.07-3.40, 1 Tl 3.41, 1 Hg 3.43
Tl: 0.6461 0.2500 0.0591  3 Se 3.05-3.09
Tl: 0.6601 0.2500 0.6573  3 Se 2.97-3.11
Tl: 0.8435 0.7500 0.0000  3 Se 3.02-3.31
Tl: 0.8788 0.2500 0.4945  2 Se 2.99
Tl: 0.9684 0.7500 0.7601  3 Se 3.02-3.12
Hg: 0.1664 0.2500 0.7307  9 Tl 3.43-3.80
Hg: 0.8336 0.7500 0.2693  9 Tl 3.43-3.80
Se: 0.1264 0.7500 0.1440  5 Tl 2.97-3.02
Se: 0.2507 0.2500 0.4555  5 Tl 2.99-3.12
Se: 0.4340 0.2500 0.1153  6 Tl 3.05-3.31
Se: 0.5660 0.7500 0.8847  6 Tl 3.05-3.31
Se: 0.7493 0.7500 0.5445  5 Tl 2.99-3.12
Se: 0.8736 0.2500 0.8560  5 Tl 2.97-3.02

Values from the calculation:
E_tot = -2.795 eV per atom



# 10
# TlHg2Se

An optimized crystal structure of TlHg2Se (PBE, Alexandria via LeMat-Bulk).

Cell lengths 5.3547, 5.3547, 5.3547 Å; angles 119.77, 119.77, 90.40 degrees
Closest atoms and distances in Å follow each position.
Fractional coordinates of all 4 atoms:
Tl: 0.0000 0.0000 0.0000  4 Hg 3.28, 4 Se 3.28
Hg: 0.2500 0.7500 0.5000  4 Hg 3.28, 4 Tl 3.28
Hg: 0.5000 0.5000 0.0000  4 Se 3.28, 4 Hg 3.28
Se: 0.7500 0.2500 0.5000  4 Hg 3.28, 4 Tl 3.28

Values from the calculation:
E_tot = -1.649 eV per atom



These records have energy relative to the elements, uncorrected values of -0.037, 0.040, -0.016, -0.180, -0.049, -0.251, 0.021, -0.005, -0.300, -0.035 eV per atom, in the order they appear.